Run one
YTl2Pb2: relaxed, PBE.

Summary:
Its space group is P4/mbm (127). The density of states at the Fermi level is 5.30 states/eV/cell.

Cell and atoms, written as POSCAR:
```
YTl2Pb2
1.0
8.7452 0.0000 0.0000
0.0000 8.7452 0.0000
0.0000 0.0000 4.0136
Y Tl Pb
2 4 4
Cartesian
0.0000 0.0000 0.0000
4.3726 4.3726 0.0000
1.4216 2.9510 2.0068
2.9510 7.3236 2.0068
5.7942 1.4216 2.0068
7.3236 5.7942 2.0068
1.1925 5.5651 0.0000
3.1801 1.1925 0.0000
5.5651 7.5527 0.0000
7.5527 3.1801 0.0000
```

Run two
YTl2Pb2: relaxed, PBE.

Summary:
Its space group is P-1 (2). The density of states at the Fermi level is 2.70 states/eV/cell.

Cell and atoms, written as POSCAR:
```
YTl2Pb2
1.0
4.7169 0.0000 0.0000
2.3386 5.5503 0.0000
2.3256 0.6483 5.5901
Y Tl Pb
1 2 2
Cartesian
0.0000 0.0000 0.0000
2.3438 1.3400 2.2530
7.0374 4.8585 3.3371
4.6773 2.8160 4.5505
4.7039 3.3826 1.0396
```

Run three
YTl2Pb2: relaxed, PBE.

Summary:
Its space group is I4/mmm (139). The density of states at the Fermi level is 3.08 states/eV/cell.

Cell and atoms, written as POSCAR:
```
YTl2Pb2
1.0
-2.1867 2.1867 8.4467
2.1867 -2.1867 8.4467
2.1867 2.1867 -8.4467
Y Tl Pb
1 2 2
Cartesian
0.0000 0.0000 0.0000
2.1867 0.0000 4.2234
0.0000 2.1867 4.2234
0.0000 0.0000 6.9195
0.0000 0.0000 9.9739
```

What is the stability order? It is run two, run three, run one, from most stable to least stable.